Record 1
{
  "formula": "SrCd2OsO6",
  "functional": "PBE",
  "state": "optimized geometry",
  "cell": [[5.762, 0.000, -0.045], [0.000, 5.831, 0.000], [-0.015, 0.000, 8.367]],
  "species": ["Sr", "Sr", "Cd", "Cd", "Cd", "Cd", "Os", "Os", "O", "O", "O", "O", "O", "O", "O", "O", "O", "O", "O", "O"],
  "frac_coords": [[0.500, 0.000, 0.000], [0.000, 0.500, 0.500], [0.986, 0.972, 0.265], [0.486, 0.528, 0.765], [0.014, 0.028, 0.735], [0.514, 0.472, 0.235], [0.500, 0.000, 0.500], [0.000, 0.500, 0.000], [0.295, 0.642, 0.039], [0.795, 0.858, 0.539], [0.705, 0.358, 0.961], [0.205, 0.142, 0.461], [0.373, 0.718, 0.416], [0.873, 0.782, 0.916], [0.627, 0.282, 0.584], [0.127, 0.218, 0.084], [0.893, 0.600, 0.215], [0.393, 0.900, 0.715], [0.107, 0.400, 0.785], [0.607, 0.100, 0.285]],
  "space_group": "P2_1/c (14)",
  "raw_formation_energy_mev_per_atom": -1379.0,
  "crystal_system": "monoclinic"
}

---

Record 2
{
  "formula": "Be2TlV",
  "functional": "PBE",
  "state": "optimized geometry",
  "cell": [[0.000, 3.016, 3.016], [3.016, 0.000, 3.016], [3.016, 3.016, 0.000]],
  "species": ["Be", "Be", "Tl", "V"],
  "frac_coords": [[0.250, 0.250, 0.250], [0.750, 0.750, 0.750], [0.500, 0.500, 0.500], [0.000, 0.000, 0.000]],
  "space_group": "Fm-3m (225)",
  "formation_energy_ev_per_atom": 0.6186,
  "crystal_system": "cubic"
}

---

Record 3
{
  "formula": "RbPmCl3",
  "functional": "PBE",
  "state": "optimized geometry",
  "cell": [[-2.186, -5.026, 0.580], [0.790, 0.285, 5.447], [-4.997, 2.244, 0.608]],
  "species": ["Cl", "Cl", "Cl", "Rb", "Pm"],
  "frac_coords": [[0.000, 0.500, 0.000], [0.000, 0.000, 0.500], [0.500, 0.000, 0.000], [0.500, 0.500, 0.500], [0.000, 0.000, 0.000]],
  "space_group": "Pm-3m (221)",
  "raw_formation_energy_mev_per_atom": -1884.1,
  "crystal_system": "cubic"
}

---

Record 4
{
  "formula": "Tb6GePb2C",
  "functional": "PBE",
  "state": "optimized geometry",
  "cell": [[-4.322, -1.667, -2.394], [2.916, -2.520, -3.512], [-0.067, -8.387, 5.961]],
  "species": ["Tb", "Tb", "Tb", "Tb", "Tb", "Tb", "Ge", "Pb", "Pb", "C"],
  "frac_coords": [[0.500, 0.000, 0.000], [0.500, 0.000, 0.500], [0.000, 0.500, 0.000], [0.000, 0.500, 0.500], [0.500, 0.500, 0.730], [0.500, 0.500, 0.270], [0.500, 0.500, 0.000], [0.000, 0.000, 0.746], [0.000, 0.000, 0.254], [0.500, 0.500, 0.500]],
  "space_group": "P4/mmm (123)",
  "formation_energy_ev_per_atom": -0.4063,
  "crystal_system": "tetragonal"
}

---

Record 5
{
  "formula": "Cu2MoPb",
  "functional": "PBE",
  "state": "optimized geometry",
  "cell": [[-1.030, -1.335, -4.232], [2.005, -3.684, -1.778], [-2.410, -3.808, -0.664]],
  "species": ["Cu", "Cu", "Mo", "Pb"],
  "frac_coords": [[0.000, 0.000, 0.000], [0.250, 0.250, 0.250], [0.500, 0.500, 0.500], [0.750, 0.750, 0.750]],
  "space_group": "F-43m (216)",
  "formation_energy_ev_per_atom": 0.6633,
  "crystal_system": "cubic"
}

---

Record 6
{
  "formula": "TaRuPb",
  "functional": "PBE",
  "state": "optimized geometry",
  "cell": [[3.285, 0.000, 0.000], [-1.643, 2.845, 0.000], [0.000, 0.000, 6.824]],
  "species": ["Pb", "Ru", "Ta"],
  "frac_coords": [[0.000, 0.000, 0.006], [0.667, 0.333, 0.380], [0.333, 0.667, 0.614]],
  "space_group": "P3m1 (156)",
  "formation_energy_ev_per_atom": 0.2785,
  "crystal_system": "trigonal"
}